Record 1
Below is an optimized crystal structure of YCr4Fe, with properties calculated at the PBE level.

Results
Crystal system: cubic
N(E_F), states/eV/cell: 5.8
Magnetic moment, μB/atom: 0.3808
Calculated formation energy, eV/atom: 0.40

a = 4.9601 Å, b = 4.9601 Å, c = 4.9601 Å
α = 60.00°, β = 60.00°, γ = 60.00°
Sites, in units of the cell vectors:
1 Y 0.0000 0.0000 0.0000
2 Cr 0.3752 0.3752 0.3752
3 Cr 0.3752 0.3752 0.8743
4 Cr 0.3752 0.8743 0.3752
5 Cr 0.8743 0.3752 0.3752
6 Fe 0.7500 0.7500 0.7500

Record 2
Below is an optimized crystal structure of YCr3Fe9, with properties calculated at the PBE level.

Results
Crystal system: orthorhombic
N(E_F), states/eV/cell: 14.9
Magnetic moment, μB/atom: 0.9805
Calculated formation energy, eV/atom: 0.00

a = 6.3527 Å, b = 6.3527 Å, c = 6.3527 Å
α = 136.77°, β = 98.03°, γ = 97.57°
Sites, in units of the cell vectors:
1 Y 0.0000 0.0000 0.0000
2 Cr 0.3573 0.9892 0.3681
3 Cr 0.6211 0.9892 0.6319
4 Cr 0.6339 0.6339 0.0000
5 Fe 0.2165 0.7165 0.5000
6 Fe 0.2195 0.4922 0.7273
7 Fe 0.3595 0.3595 0.0000
8 Fe 0.4956 0.4928 0.5025
9 Fe 0.4956 0.9931 0.0028
10 Fe 0.7650 0.4922 0.2727
11 Fe 0.7672 0.2672 0.5000
12 Fe 0.9903 0.4928 0.9972
13 Fe 0.9903 0.9931 0.4975

Record 3
Below is an optimized crystal structure of YCrFe2, with properties calculated at the PBE level.

Results
Crystal system: tetragonal
Distance to the lowest polymorph of the same formula, meV per atom: 174.5
N(E_F), states/eV/cell: 4.9
Magnetic moment, μB/atom: 0.8078
Calculated formation energy, eV/atom: 0.32

a = 3.0802 Å, b = 3.0802 Å, c = 6.6347 Å
α = 90.00°, β = 90.00°, γ = 90.00°
Sites, in units of the cell vectors:
1 Y 0.0000 0.0000 0.0000
2 Cr 0.5000 0.5000 0.3250
3 Fe 0.0000 0.0000 0.4989
4 Fe 0.5000 0.5000 0.6835